1.
Below is crystalline Rb3SrNb at its relaxed geometry, with properties calculated at the PBE-GGA level.

The calculation puts the formation energy at 1.12 eV per atom. The density is 2.0 g/cm³. Its excess energy over the best structure of this formula in the dataset is 0.0 meV per atom. For the spin magnetization, the calculation gives 1.102 μB per atom. Its energy is -9.1 eV for the cell shown.

a b c (Å): 7.1048 7.1048 7.1048
angles (deg): 90.00 90.00 90.00
Last column: nearest neighbours and their distance in Å.
Space group Pm-3m (No. 221)
Symmetry-distinct sites (fractional):
1 Rb 0.0000 0.0000 0.5000 [3 per cell]  2 Nb 3.55
2 Sr 0.5000 0.5000 0.5000 [1 per cell]  12 Rb 5.02
3 Nb 0.0000 0.0000 0.0000 [1 per cell]  6 Rb 3.55

2.
Below is crystalline Rb2SrNbTc at its relaxed geometry, with properties calculated at the PBE-GGA level.

The calculation puts the formation energy at 1.19 eV per atom. The density is 3.4 g/cm³. For the spin magnetization, the calculation gives 0.027 μB per atom. Its energy is -18.1 eV for the cell shown.

a b c (Å): 6.8862 6.8862 4.6775
angles (deg): 90.00 90.00 90.00
Last column: nearest neighbours and their distance in Å.
Space group P4/mmm (No. 123)
Symmetry-distinct sites (fractional):
1 Rb 0.0000 0.5000 0.0000 [2 per cell]  2 Tc 3.44
2 Sr 0.0000 0.0000 0.5000 [1 per cell]  8 Rb 4.16
3 Nb 0.5000 0.5000 0.5000 [1 per cell]  2 Tc 2.34
4 Tc 0.5000 0.5000 0.0000 [1 per cell]  2 Nb 2.34

3.
Below is crystalline RbSrNbTc2 at its relaxed geometry, with properties calculated at the PBE-GGA level.

The calculation puts the formation energy at 1.31 eV per atom. The density is 5.3 g/cm³. For the spin magnetization, the calculation gives 0.428 μB per atom. Its energy is -26.9 eV for the cell shown.

a b c (Å): 4.8950 4.8950 6.0825
angles (deg): 90.00 90.00 90.00
Last column: nearest neighbours and their distance in Å.
Space group P4/mmm (No. 123)
Symmetry-distinct sites (fractional):
1 Rb 0.0000 0.0000 0.0000 [1 per cell]  4 Sr 3.46
2 Sr 0.5000 0.5000 0.0000 [1 per cell]  2 Nb 3.04
3 Nb 0.5000 0.5000 0.5000 [1 per cell]  4 Tc 2.45
4 Tc 0.0000 0.5000 0.5000 [2 per cell]  2 Nb 2.45

4.
Below is crystalline RbSrNb2Zn at its relaxed geometry, with properties calculated at the PBE-GGA level.

The calculation puts the formation energy at 2.08 eV per atom. The density is 4.1 g/cm³. For the spin magnetization, the calculation gives 0.431 μB per atom. Its energy is -13.6 eV for the cell shown.

a b c (Å): 5.3039 5.3039 6.0410
angles (deg): 90.00 90.00 90.00
Last column: nearest neighbours and their distance in Å.
Space group P4/mmm (No. 123)
Symmetry-distinct sites (fractional):
1 Rb 0.0000 0.0000 0.0000 [1 per cell]  4 Zn 3.75, 8 Nb 4.02
2 Sr 0.5000 0.5000 0.5000 [1 per cell]  4 Nb 2.65
3 Nb 0.0000 0.5000 0.5000 [2 per cell]  2 Sr 2.65
4 Zn 0.5000 0.5000 0.0000 [1 per cell]  2 Sr 3.02

5.
Below is crystalline RbTa3Nb at its relaxed geometry, with properties calculated at the PBE-GGA level.

The calculation puts the formation energy at 3.08 eV per atom. The density is 11.1 g/cm³. Its excess energy over the best structure of this formula in the dataset is 1246.0 meV per atom. For the spin magnetization, the calculation gives 0.000 μB per atom. Its energy is -31.2 eV for the cell shown.

a b c (Å): 4.7616 4.7616 4.7616
angles (deg): 90.00 90.00 90.00
Last column: nearest neighbours and their distance in Å.
Space group Pm-3m (No. 221)
Symmetry-distinct sites (fractional):
1 Rb 0.0000 0.0000 0.0000 [1 per cell]  6 Ta 2.38
2 Ta 0.0000 0.0000 0.5000 [3 per cell]  2 Rb 2.38
3 Nb 0.5000 0.5000 0.5000 [1 per cell]  12 Ta 3.37

6.
Below is crystalline Rb3TaNb at its relaxed geometry, with properties calculated at the PBE-GGA level.

The calculation puts the formation energy at 2.90 eV per atom. The density is 3.4 g/cm³. For the spin magnetization, the calculation gives 0.001 μB per atom. Its energy is -10.3 eV for the cell shown.

a b c (Å): 6.3866 6.3866 6.3866
angles (deg): 90.00 90.00 90.00
Last column: nearest neighbours and their distance in Å.
Space group Pm-3m (No. 221)
Symmetry-distinct sites (fractional):
1 Rb 0.0000 0.0000 0.5000 [3 per cell]  2 Ta 3.19
2 Ta 0.0000 0.0000 0.0000 [1 per cell]  6 Rb 3.19
3 Nb 0.5000 0.5000 0.5000 [1 per cell]  12 Rb 4.52

7.
Below is crystalline RbTa3Nb at its relaxed geometry, with properties calculated at the PBE-GGA level.

The calculation puts the formation energy at 1.83 eV per atom. The density is 9.1 g/cm³. Its excess energy over the best structure of this formula in the dataset is 0.0 meV per atom. For the spin magnetization, the calculation gives 0.000 μB per atom. Its energy is -37.4 eV for the cell shown.

a b c (Å): 5.0879 5.0879 5.0879
angles (deg): 90.00 90.00 90.00
Last column: nearest neighbours and their distance in Å.
Space group Pm-3m (No. 221)
Symmetry-distinct sites (fractional):
1 Rb 0.0000 0.0000 0.0000 [1 per cell]  12 Ta 3.60
2 Ta 0.0000 0.5000 0.5000 [3 per cell]  2 Nb 2.54
3 Nb 0.5000 0.5000 0.5000 [1 per cell]  6 Ta 2.54

8.
Below is crystalline RbTaNb2 at its relaxed geometry, with properties calculated at the PBE-GGA level.

The calculation puts the formation energy at 1.89 eV per atom. The density is 6.5 g/cm³. Its excess energy over the best structure of this formula in the dataset is 324.8 meV per atom. For the spin magnetization, the calculation gives 0.000 μB per atom. Its energy is -101.6 eV for the cell shown.

a b c (Å): 4.9753 4.9753 18.6915
angles (deg): 90.00 90.00 90.00
Last column: nearest neighbours and their distance in Å.
Space group I-42d (No. 122)
Symmetry-distinct sites (fractional):
1 Rb 0.0000 0.0000 0.0000 [4 per cell]  4 Nb 3.30, 4 Ta 3.52
2 Ta 0.0000 0.0000 0.5000 [4 per cell]  4 Nb 2.70
3 Nb 0.1030 0.7500 0.6250 [8 per cell]  2 Nb 2.69, 2 Ta 2.70

9.
Below is crystalline RbTaNb2 at its relaxed geometry, with properties calculated at the PBE-GGA level.

The calculation puts the formation energy at 1.56 eV per atom. The density is 8.8 g/cm³. Its excess energy over the best structure of this formula in the dataset is 0.0 meV per atom. For the spin magnetization, the calculation gives 0.000 μB per atom. Its energy is -106.8 eV for the cell shown.

a b c (Å): 6.9880 6.9880 6.9880
angles (deg): 90.00 90.00 90.00
Last column: nearest neighbours and their distance in Å.
Space group Fm-3m (No. 225)
Symmetry-distinct sites (fractional):
1 Rb 0.0000 0.0000 0.0000 [4 per cell]  8 Nb 3.03
2 Ta 0.0000 0.0000 0.5000 [4 per cell]  8 Nb 3.03
3 Nb 0.2500 0.2500 0.2500 [8 per cell]  4 Ta 3.03, 4 Rb 3.03

10.
Below is crystalline RbTaNbTe at its relaxed geometry, with properties calculated at the PBE-GGA level.

The density is 6.7 g/cm³. For the uncorrected formation energy, the calculation gives 103 kJ/mol of formula units. Its excess energy over the best structure of this formula in the dataset is 0.0 meV per atom. For the spin magnetization, the calculation gives 0.000 μB per atom. Its energy is -25.0 eV for the cell shown.

a b c (Å): 3.5280 4.2298 8.0862
angles (deg): 90.00 90.00 90.00
Last column: nearest neighbours and their distance in Å.
Space group Pmm2 (No. 25)
Symmetry-distinct sites (fractional):
1 Rb 0.0000 0.0000 0.0000 [1 per cell]  2 Rb 3.53, 4 Te 3.71
2 Ta 0.5000 0.0000 0.5546 [1 per cell]  4 Nb 2.76, 2 Te 2.91
3 Nb 0.0000 0.5000 0.5775 [1 per cell]  4 Ta 2.76, 2 Te 2.81
4 Te 0.5000 0.5000 0.3068 [1 per cell]  2 Nb 2.81, 2 Ta 2.91

11.
Below is crystalline RbTaNbTe at its relaxed geometry, with properties calculated at the PBE-GGA level.

The density is 7.4 g/cm³. For the uncorrected formation energy, the calculation gives 120 kJ/mol of formula units. Its excess energy over the best structure of this formula in the dataset is 43.5 meV per atom. For the spin magnetization, the calculation gives 0.219 μB per atom. Its energy is -24.8 eV for the cell shown.

a b c (Å): 3.5078 3.5078 8.9277
angles (deg): 90.00 90.00 90.00
Last column: nearest neighbours and their distance in Å.
Space group P4mm (No. 99)
Symmetry-distinct sites (fractional):
1 Rb 0.0000 0.0000 0.0000 [1 per cell]  4 Rb 3.51, 4 Te 3.76
2 Ta 0.5000 0.5000 0.3494 [1 per cell]  4 Nb 2.83, 1 Te 2.98
3 Nb 0.0000 0.0000 0.5018 [1 per cell]  4 Ta 2.83, 4 Te 2.96
4 Te 0.5000 0.5000 0.6835 [1 per cell]  4 Nb 2.96, 1 Ta 2.98

12.
Below is crystalline RbTaNbTe at its relaxed geometry, with properties calculated at the PBE-GGA level.

The density is 6.3 g/cm³. For the uncorrected formation energy, the calculation gives 261 kJ/mol of formula units. Its excess energy over the best structure of this formula in the dataset is 407.6 meV per atom. For the spin magnetization, the calculation gives 0.000 μB per atom. Its energy is -23.3 eV for the cell shown.

a b c (Å): 3.4834 4.6844 7.8970
angles (deg): 90.00 90.00 90.00
Last column: nearest neighbours and their distance in Å.
Space group Pmm2 (No. 25)
Symmetry-distinct sites (fractional):
1 Rb 0.0000 0.0000 0.0000 [1 per cell]  2 Rb 3.48, 2 Te 3.88
2 Ta 0.5000 0.5000 0.6455 [1 per cell]  2 Nb 2.59, 2 Te 2.85
3 Nb 0.0000 0.5000 0.4035 [1 per cell]  2 Ta 2.59
4 Te 0.5000 0.0000 0.4397 [1 per cell]  2 Ta 2.85, 4 Nb 2.93

Please write out number 1 again, unchanged.
Below is crystalline Rb3SrNb at its relaxed geometry, with properties calculated at the PBE-GGA level.

The calculation puts the formation energy at 1.12 eV per atom. The density is 2.0 g/cm³. Its excess energy over the best structure of this formula in the dataset is 0.0 meV per atom. For the spin magnetization, the calculation gives 1.102 μB per atom. Its energy is -9.1 eV for the cell shown.

a b c (Å): 7.1048 7.1048 7.1048
angles (deg): 90.00 90.00 90.00
Last column: nearest neighbours and their distance in Å.
Space group Pm-3m (No. 221)
Symmetry-distinct sites (fractional):
1 Rb 0.0000 0.0000 0.5000 [3 per cell]  2 Nb 3.55
2 Sr 0.5000 0.5000 0.5000 [1 per cell]  12 Rb 5.02
3 Nb 0.0000 0.0000 0.0000 [1 per cell]  6 Rb 3.55